VASP calculation (PBE) on crystalline Dy4Er19Th6 at its relaxed geometry.

a b c (Å): 10.712 10.712 10.712
angles (deg): 109.47 109.47 109.47
Positions (direct):
Dy: 0.000 0.000 0.644
Dy: 0.000 0.644 0.000
Dy: 0.356 0.356 0.356
Dy: 0.644 0.000 0.000
Er: 0.736 0.000 0.736
Er: 0.264 0.000 0.264
Er: 0.264 0.264 0.000
Er: 0.736 0.736 0.000
Er: 0.000 0.736 0.736
Er: 0.000 0.264 0.264
Er: 0.000 0.000 0.000
Er: 0.191 0.210 0.533
Er: 0.809 0.342 0.019
Er: 0.677 0.658 0.467
Er: 0.019 0.809 0.342
Er: 0.323 0.790 0.981
Er: 0.533 0.191 0.210
Er: 0.981 0.323 0.790
Er: 0.467 0.677 0.658
Er: 0.790 0.981 0.323
Er: 0.342 0.019 0.809
Er: 0.210 0.533 0.191
Er: 0.658 0.467 0.677
Th: 0.370 0.500 0.870
Th: 0.630 0.500 0.130
Th: 0.130 0.630 0.500
Th: 0.870 0.370 0.500
Th: 0.500 0.870 0.370
Th: 0.500 0.130 0.630

Results
**Formation energy**: 41 kJ per mole of atoms



VASP calculation (PBE) on crystalline Dy7Er16Th6 at its relaxed geometry.

a b c (Å): 10.998 10.998 10.998
angles (deg): 60.00 60.00 60.00
Positions (direct):
Dy: 0.000 0.000 0.000
Dy: 0.500 0.000 0.500
Dy: 0.000 0.500 0.000
Dy: 0.000 0.500 0.500
Dy: 0.500 0.000 0.000
Dy: 0.000 0.000 0.500
Dy: 0.500 0.500 0.000
Er: 0.880 0.880 0.360
Er: 0.880 0.880 0.880
Er: 0.880 0.360 0.880
Er: 0.360 0.880 0.880
Er: 0.120 0.120 0.120
Er: 0.120 0.120 0.640
Er: 0.120 0.640 0.120
Er: 0.640 0.120 0.120
Er: 0.659 0.659 0.024
Er: 0.659 0.659 0.659
Er: 0.659 0.024 0.659
Er: 0.024 0.659 0.659
Er: 0.341 0.341 0.341
Er: 0.341 0.341 0.976
Er: 0.341 0.976 0.341
Er: 0.976 0.341 0.341
Th: 0.330 0.670 0.330
Th: 0.670 0.330 0.670
Th: 0.670 0.330 0.330
Th: 0.330 0.670 0.670
Th: 0.670 0.670 0.330
Th: 0.330 0.330 0.670

Results
**Formation energy**: 30 kJ per mole of atoms



VASP calculation (PBE) on crystalline Dy2Er7Th2 at its relaxed geometry.

a b c (Å): 6.075 7.922 7.922
angles (deg): 91.76 73.85 73.85
Positions (direct):
Dy: 0.500 0.215 0.785
Dy: 0.500 0.785 0.215
Er: 0.173 0.065 0.589
Er: 0.827 0.411 0.935
Er: 0.827 0.935 0.411
Er: 0.173 0.589 0.065
Er: 0.000 0.000 0.000
Er: 0.579 0.762 0.762
Er: 0.421 0.238 0.238
Th: 0.808 0.414 0.414
Th: 0.192 0.586 0.586

Results
**Formation energy**: 17 kJ per mole of atoms
**Energy relative to the lowest polymorph listed for this composition**: 0.00 kJ/mol of atoms



VASP calculation (PBE) on crystalline DyEr4Th2 at its relaxed geometry.

a b c (Å): 3.455 8.491 8.875
angles (deg): 120.37 82.72 98.05
Positions (direct):
Er: 0.368 0.729 0.579
Er: 0.958 0.165 0.716
Er: 0.632 0.271 0.421
Er: 0.042 0.835 0.284
Th: 0.411 0.414 0.132
Th: 0.589 0.586 0.868
Dy: 0.000 0.000 0.000

Results
**Formation energy**: 11 kJ per mole of atoms
**Energy relative to the lowest polymorph listed for this composition**: 0.00 kJ/mol of atoms



Total magnetization per entry: 0.000, 0.000, 0.000, 0.000 μB per atom